(1)
CrInIr: relaxed, PBE-GGA.

Properties
The calculation puts the calculated formation energy at 0.217 eV per atom. As for the space group: No. 187. The calculation puts the volume at 16.6 Å³/atom. The density of states at the Fermi level comes out at 3.6 states/eV/cell.

Lattice parameters (Å, degrees): 4.4070 4.4070 2.9622 90.00 90.00 120.00
Sites, in units of the cell vectors:
Cr 0.0000 0.0000 0.0000
In 0.6667 0.3333 0.5000
Ir 0.3333 0.6667 0.0000

---

(2)
TiBePd6: relaxed, PBE-GGA.

Properties
The calculation puts the calculated formation energy at -0.366 eV per atom. As for the space group: No. 2. The calculation puts the volume at 14.7 Å³/atom. The density of states at the Fermi level comes out at 5.7 states/eV/cell.

Lattice parameters (Å, degrees): 4.9391 4.9577 4.9715 98.24 98.36 98.64
Sites, in units of the cell vectors:
Ti 0.0000 0.0000 0.0000
Be 0.5000 0.5000 0.5000
Pd 0.1082 0.5660 0.2726
Pd 0.2737 0.1081 0.5671
Pd 0.4360 0.7270 0.8913
Pd 0.5640 0.2730 0.1087
Pd 0.7263 0.8919 0.4329
Pd 0.8918 0.4340 0.7274